[1]
Co2TcAg (PBE, relaxed); DFT formation energy = 497 meV/atom
1.0
2.604 0.000 0.000
0.000 4.873 -0.008
0.000 3.083 4.313
Ag Co Tc
1 2 1
direct
0.000 0.000 0.500
0.500 0.500 0.000
0.000 0.000 0.000
0.500 0.500 0.500

***

[2]
Co2TcAg (PBE, relaxed); DFT formation energy = 398 meV/atom
1.0
2.640 0.000 0.000
0.000 3.693 0.000
0.000 0.000 5.581
Co Tc Ag
2 1 1
direct
0.000 0.000 0.030
0.500 0.500 0.251
0.000 0.000 0.455
0.500 0.500 0.764

***

[3]
Co2TcAg (PBE, relaxed); DFT formation energy = 423 meV/atom
1.0
4.461 0.001 -0.006
3.680 2.523 -0.006
0.691 0.214 4.877
Tc Co Ag
1 2 1
direct
0.250 0.250 0.250
0.995 0.995 0.042
0.505 0.505 0.458
0.750 0.750 0.750

***

[4]
CoTc2Ag (PBE, relaxed); DFT formation energy = 463 meV/atom
1.0
-1.526 1.542 -4.152
-4.311 -1.690 -0.713
1.850 2.286 3.647
Tc Ag Co
2 1 1
direct
0.000 0.000 0.000
0.750 0.250 0.500
0.500 0.500 0.000
0.250 0.750 0.500

***

[5]
CoTc2Ag (PBE, relaxed); DFT formation energy = 363 meV/atom
1.0
-8.700 -3.034 -0.304
-7.870 -3.967 -2.704
-7.441 -5.423 -0.464
Ag Tc Co
1 2 1
direct
0.250 0.250 0.250
0.009 0.009 0.009
0.491 0.491 0.491
0.750 0.750 0.750

***

[6]
CoTc2Ag (PBE, relaxed); DFT formation energy = 326 meV/atom
1.0
-2.385 0.923 0.621
0.345 -0.783 2.489
3.300 7.292 1.837
Tc Co Ag
2 1 1
direct
0.000 0.000 0.971
0.000 0.000 0.529
0.500 0.500 0.750
0.500 0.500 0.250

***

[7]
CoTcAg (PBE, relaxed); DFT formation energy = 321 meV/atom
1.0
6.103 -0.006 0.000
4.891 3.651 0.000
-5.497 -1.822 1.927
Co Tc Ag
1 1 1
direct
0.319 0.319 0.000
0.687 0.687 0.000
0.994 0.994 0.000

***

[8]
Co2TcAg (PBE, relaxed); DFT formation energy = 686 meV/atom
1.0
-1.012 3.913 1.363
0.617 1.061 4.085
3.082 2.758 1.045
Ag Co Tc
1 2 1
direct
0.500 0.500 0.500
0.250 0.250 0.250
0.000 0.000 0.000
0.750 0.750 0.750

***

[9]
Co2TcAg (PBE, relaxed); DFT formation energy = 300 meV/atom
1.0
-1.147 1.988 -1.298
-1.133 -1.727 -1.640
-6.146 -0.459 4.726
Ag Co Tc
1 2 1
direct
0.500 0.500 0.764
0.000 0.000 0.033
0.500 0.500 0.234
0.000 0.000 0.469

***

[10]
Co3TcAg (PBE, relaxed); DFT formation energy = 1383 meV/atom
1.0
4.399 0.000 0.000
0.000 4.399 0.000
0.000 0.000 4.399
Ag Co Tc
1 3 1
direct
0.500 0.500 0.500
0.500 0.000 0.000
0.000 0.500 0.000
0.000 0.000 0.500
0.000 0.000 0.000

***

[11]
Co2TcAg (PBE, relaxed); DFT formation energy = 486 meV/atom
1.0
0.000 2.988 2.988
2.988 0.000 2.988
2.988 2.988 0.000
Ag Tc Co
1 1 2
direct
0.500 0.500 0.500
0.000 0.000 0.000
0.250 0.250 0.250
0.750 0.750 0.750

***

[12]
CoTc2Ag (PBE, relaxed); DFT formation energy = 253 meV/atom
1.0
9.183 0.008 0.005
8.773 2.711 0.005
8.773 1.329 2.363
Tc Ag Co
2 1 1
direct
0.257 0.257 0.257
0.001 0.001 0.001
0.497 0.497 0.497
0.746 0.746 0.746

***

[13]
CoTc2Ag (PBE, relaxed); DFT formation energy = 809 meV/atom
1.0
7.062 0.000 0.000
0.000 7.062 0.000
3.531 3.531 2.498
Tc Ag Co
4 2 2
direct
0.184 0.625 0.250
0.375 0.434 0.750
0.875 0.816 0.750
0.566 0.125 0.250
0.750 0.250 0.500
0.000 0.000 0.000
0.250 0.750 0.500
0.500 0.500 0.000

***

[14]
Co2TcAg (PBE, relaxed); DFT formation energy = 809 meV/atom
1.0
-6.469 -0.660 1.215
-1.066 -1.323 -6.394
-3.410 -3.613 -2.107
Co Ag Tc
4 2 2
direct
0.375 0.414 0.750
0.586 0.125 0.250
0.164 0.625 0.250
0.875 0.836 0.750
0.000 0.000 0.000
0.750 0.250 0.500
0.500 0.500 0.000
0.250 0.750 0.500

***

[15]
CoTc4Ag2 (PBE, relaxed); DFT formation energy = 1488 meV/atom
1.0
-1.577 1.520 -3.758
-2.658 -3.433 -0.273
-6.923 2.493 1.396
Ag Tc Co
2 4 1
direct
0.633 0.633 0.733
0.367 0.367 0.267
0.500 0.000 0.000
0.829 0.829 0.341
0.171 0.171 0.659
0.000 0.500 0.000
0.000 0.000 0.000

***

[16]
Co2TcAg (PBE, relaxed); DFT formation energy = 338 meV/atom
1.0
-1.650 1.571 2.700
-2.349 -0.299 -1.262
-3.052 -5.315 1.228
Co Tc Ag
2 1 1
direct
0.000 0.535 0.466
0.000 0.965 0.034
0.500 0.250 0.250
0.500 0.750 0.750

***

[17]
Co2TcAg (PBE, relaxed); DFT formation energy = 596 meV/atom
1.0
-0.250 -5.132 0.075
4.452 -2.532 0.414
-3.415 3.257 2.033
Co Ag Tc
2 1 1
direct
0.986 0.986 0.000
0.514 0.514 0.000
0.250 0.750 0.500
0.750 0.250 0.500

***

[18]
Co2TcAg (PBE, relaxed); DFT formation energy = 389 meV/atom
1.0
-3.403 1.244 1.856
-0.180 -2.326 1.230
2.638 0.636 4.410
Tc Co Ag
1 2 1
direct
0.000 0.462 0.452
0.500 0.058 0.261
0.000 0.183 0.009
0.500 0.798 0.779

***

[19]
CoTcAg4 (PBE, relaxed); DFT formation energy = 851 meV/atom
1.0
-1.970 -4.873 0.798
-2.705 -1.078 4.448
-5.250 -0.813 -0.213
Ag Co Tc
4 1 1
direct
0.375 0.375 0.875
0.375 0.375 0.375
0.375 0.875 0.375
0.875 0.375 0.375
0.750 0.750 0.750
0.000 0.000 0.000

***

[20]
Co2TcAg (PBE, relaxed); DFT formation energy = 476 meV/atom
1.0
-0.812 1.510 4.117
-1.192 -3.611 2.330
3.602 0.624 -2.554
Ag Co Tc
1 2 1
direct
0.750 0.250 0.500
0.500 0.500 0.000
0.000 0.000 0.000
0.250 0.750 0.500

***

[21]
CoTc2Ag (PBE, relaxed); DFT formation energy = 304 meV/atom
1.0
2.692 0.000 0.000
0.000 2.692 0.000
0.000 0.000 7.901
Ag Tc Co
1 2 1
direct
0.000 0.000 0.516
0.000 0.000 0.978
0.500 0.500 0.234
0.500 0.500 0.772

***

[22]
CoTc2Ag (PBE, relaxed); DFT formation energy = 565 meV/atom
1.0
-4.036 -1.368 0.864
-1.805 -3.121 -2.431
-0.641 -3.962 1.674
Ag Co Tc
1 1 2
direct
0.500 0.500 0.500
0.250 0.250 0.250
0.000 0.000 0.000
0.750 0.750 0.750

***

[23]
CoTc2Ag (PBE, relaxed); DFT formation energy = 419 meV/atom
1.0
4.724 0.016 0.007
3.967 2.566 0.007
0.789 0.234 4.781
Tc Ag Co
2 1 1
direct
0.987 0.987 0.998
0.746 0.746 0.781
0.506 0.506 0.486
0.261 0.261 0.235

***

[24]
CoTcAg (PBE, relaxed); DFT formation energy = 339 meV/atom
1.0
-0.467 0.495 2.634
1.390 -2.218 -0.742
5.797 3.509 0.367
Co Tc Ag
1 1 1
direct
0.667 0.333 0.352
0.333 0.667 0.638
0.000 0.000 0.010

***

[25]
CoTc2Ag (PBE, relaxed); DFT formation energy = 379 meV/atom
1.0
2.726 0.000 0.000
0.000 3.832 0.000
0.000 0.000 5.580
Tc Co Ag
2 1 1
direct
0.500 0.500 0.217
0.000 0.000 0.000
0.500 0.500 0.771
0.000 0.000 0.511

***

[26]
Co2TcAg (PBE, relaxed); DFT formation energy = 352 meV/atom
1.0
-3.853 -3.629 -7.156
-5.484 -4.625 -5.270
-5.929 -2.175 -6.273
Co Ag Tc
2 1 1
direct
0.253 0.253 0.253
0.992 0.992 0.992
0.746 0.746 0.746
0.509 0.509 0.509

***

[27]
CoTc2Ag (PBE, relaxed); DFT formation energy = 394 meV/atom
1.0
-3.706 1.087 0.724
-0.706 -0.750 -2.491
-1.824 -5.777 -0.667
Tc Co Ag
2 1 1
direct
0.000 0.037 0.964
0.000 0.463 0.536
0.500 0.750 0.750
0.500 0.250 0.250

***

[28]
Co2TcAg (PBE, relaxed); DFT formation energy = 487 meV/atom
1.0
-2.604 0.183 0.770
0.853 -2.644 3.509
0.984 3.598 2.473
Tc Co Ag
1 2 1
direct
0.500 0.500 0.000
0.000 0.500 0.500
0.000 0.000 0.000
0.500 0.000 0.500

***

[29]
CoTc3Ag (PBE, relaxed); DFT formation energy = 1387 meV/atom
1.0
4.414 0.000 0.000
0.000 4.414 0.000
0.000 0.000 4.414
Ag Tc Co
1 3 1
direct
0.500 0.500 0.500
0.500 0.000 0.000
0.000 0.000 0.500
0.000 0.500 0.000
0.000 0.000 0.000

***

[30]
CoTc2Ag (PBE, relaxed); DFT formation energy = 483 meV/atom
1.0
-2.491 1.841 -2.075
-2.581 -0.519 2.638
1.116 3.522 1.785
Tc Co Ag
2 1 1
direct
0.000 0.000 0.000
0.500 0.500 0.000
0.000 0.500 0.500
0.500 0.000 0.500